1) Below is BC2 after structural relaxation, with properties calculated at the PBE level.

Results
Size of the total moment in μB per formula unit: 0.000
Volume in A^3/atom: 6.5
D(E_F) in states/eV/atom: 0.010

Lattice parameters (Å, degrees): 4.462 4.462 7.973 118.76 118.76 34.85
Element x y z (fractional)
B  0.010  0.010  0.201
B  0.298  0.298  0.861
B  0.702  0.702  0.139
B  0.990  0.990  0.799
C  0.112  0.112  0.030
C  0.196  0.196  0.631
C  0.400  0.400  0.480
C  0.407  0.407  0.679
C  0.593  0.593  0.321
C  0.600  0.600  0.520
C  0.804  0.804  0.369
C  0.888  0.888  0.970

2) Below is BC2 after structural relaxation, with properties calculated at the PBE level.

Results
Size of the total moment in μB per formula unit: 0.000
Volume in A^3/atom: 6.4
D(E_F) in states/eV/atom: 0.107

Lattice parameters (Å, degrees): 4.453 2.559 6.699 90.00 90.14 90.00
Element x y z (fractional)
B  0.000  0.000  0.000
B  0.105  0.500  0.644
B  0.482  0.500  0.787
B  0.687  0.000  0.646
C  0.027  0.000  0.763
C  0.150  0.500  0.406
C  0.318  0.000  0.333
C  0.325  0.000  0.102
C  0.484  0.500  0.022
C  0.655  0.000  0.408
C  0.804  0.500  0.098
C  0.817  0.500  0.324

Stability comparison, relative energies in meV/atom: 1) 23; 2) 0

1) Below is Te2IrBr after structural relaxation, with properties calculated at the PBE level.

Results
Size of the total moment in μB per formula unit: 0.000
Volume in A^3/atom: 25.9
D(E_F) in states/eV/atom: 0.634

Lattice parameters (Å, degrees): 12.500 12.500 12.500 14.28 14.28 14.28
Element x y z (fractional)
Te  0.069  0.069  0.069
Te  0.931  0.931  0.931
Ir  0.000  0.000  0.000
Br  0.500  0.500  0.500

2) Below is Te2IrBr after structural relaxation, with properties calculated at the PBE level.

Results
Size of the total moment in μB per formula unit: 0.000
Volume in A^3/atom: 26.7
D(E_F) in states/eV/atom: 0.003

Lattice parameters (Å, degrees): 6.021 3.897 9.372 90.00 103.85 90.00
Element x y z (fractional)
Te  0.007  0.250  0.218
Te  0.446  0.750  0.137
Te  0.554  0.250  0.863
Te  0.993  0.750  0.782
Ir  0.181  0.250  0.977
Ir  0.819  0.750  0.023
Br  0.301  0.750  0.591
Br  0.699  0.250  0.409

Stability comparison, relative energies in meV/atom: 1) 610; 2) 0

1) Below is NbV2Cr after structural relaxation, with properties calculated at the PBE level.

Results
Size of the total moment in μB per formula unit: 0.000
Volume in A^3/atom: 14.2
D(E_F) in states/eV/atom: 1.455

Lattice parameters (Å, degrees): 3.005 3.005 6.280 90.00 90.00 90.00
Element x y z (fractional)
Nb  0.000  0.000  0.000
V  0.500  0.500  0.275
V  0.500  0.500  0.725
Cr  0.000  0.000  0.500

2) Below is NbV2Cr after structural relaxation, with properties calculated at the PBE level.

Results
Size of the total moment in μB per formula unit: 0.000
Volume in A^3/atom: 14.5
D(E_F) in states/eV/atom: 1.109

Lattice parameters (Å, degrees): 5.086 4.556 9.986 90.00 90.00 90.00
Element x y z (fractional)
Nb  0.191  0.250  0.172
Nb  0.309  0.750  0.672
Nb  0.691  0.250  0.328
Nb  0.809  0.750  0.828
V  0.007  0.250  0.689
V  0.155  0.250  0.463
V  0.345  0.750  0.963
V  0.493  0.750  0.189
V  0.507  0.250  0.811
V  0.655  0.250  0.037
V  0.845  0.750  0.537
V  0.993  0.750  0.311
Cr  0.084  0.250  0.918
Cr  0.416  0.750  0.418
Cr  0.584  0.250  0.582
Cr  0.916  0.750  0.082

Stability comparison, relative energies in meV/atom: 1) 0; 2) 111

1) Below is SbAsCSe2 after structural relaxation, with properties calculated at the PBE level.

Results
Size of the total moment in μB per formula unit: 0.107
Volume in A^3/atom: 30.6
D(E_F) in states/eV/atom: 1.284

Lattice parameters (Å, degrees): 5.294 5.294 5.452 90.00 90.00 90.00
Element x y z (fractional)
Sb  0.000  0.000  0.000
As  0.000  0.000  0.500
C  0.500  0.500  0.500
Se  0.000  0.500  0.000
Se  0.500  0.000  0.000

2) Below is SbAsCSe2 after structural relaxation, with properties calculated at the PBE level.

Results
Size of the total moment in μB per formula unit: 0.000
Volume in A^3/atom: 18.3
D(E_F) in states/eV/atom: 0.585

Lattice parameters (Å, degrees): 4.522 4.522 4.472 90.00 90.00 90.00
Element x y z (fractional)
Sb  0.000  0.000  0.000
As  0.500  0.500  0.000
C  0.500  0.500  0.500
Se  0.000  0.500  0.500
Se  0.500  0.000  0.500

Stability comparison, relative energies in meV/atom: 1) 1057; 2) 0

1) Below is NiRh2Cl after structural relaxation, with properties calculated at the PBE level.

Results
Size of the total moment in μB per formula unit: 1.035
Volume in A^3/atom: 14.2
D(E_F) in states/eV/atom: 1.770

Lattice parameters (Å, degrees): 8.142 8.142 8.142 20.31 20.31 20.31
Element x y z (fractional)
Ni  0.000  0.000  0.000
Rh  0.252  0.252  0.252
Rh  0.748  0.748  0.748
Cl  0.500  0.500  0.500

2) Below is NiRh2Cl after structural relaxation, with properties calculated at the PBE level.

Results
Size of the total moment in μB per formula unit: 2.770
Volume in A^3/atom: 14.8
D(E_F) in states/eV/atom: 1.635

Lattice parameters (Å, degrees): 3.009 3.009 6.526 90.00 90.00 90.00
Element x y z (fractional)
Ni  0.000  0.000  0.000
Rh  0.500  0.500  0.213
Rh  0.500  0.500  0.787
Cl  0.000  0.000  0.500

Stability comparison, relative energies in meV/atom: 1) 0; 2) 6